Entry 1:
This record from Alexandria describes Fe2PtCl at its PBEsol-relaxed geometry. The functional is SCAN.

Results
Offset from the most stable computed form   209 meV per atom
Formation energy (no corrections)   -0.09 eV/atom
E   -28.694 eV per atom

Cell lengths 8.618, 2.810, 7.195 Å; angles 90.00, 126.21, 90.00 degrees
Space group C2/m (No. 12)
Inequivalent atoms, fractional coordinates:
Fe (0.197, 0.000, 0.338) [4 per cell]
Pt (0.000, 0.000, 0.500) [2 per cell]
Cl (0.000, 0.500, 0.000) [2 per cell]

---

Entry 2:
This record from Alexandria describes Cd2GaSe at its PBEsol-relaxed geometry. The functional is SCAN.

Results
Formation energy (no corrections)   0.17 eV/atom
E   -24.140 eV per atom

Cell lengths 7.005, 7.005, 7.005 Å; angles 90.00, 90.00, 90.00 degrees
Space group Fm-3m (No. 225)
Inequivalent atoms, fractional coordinates:
Cd (0.250, 0.250, 0.250) [8 per cell]
Ga (0.000, 0.000, 0.000) [4 per cell]
Se (0.000, 0.000, 0.500) [4 per cell]

---

Entry 3:
This record from Alexandria describes LaCr2Fe at its PBEsol-relaxed geometry. The functional is SCAN.

Results
Offset from the most stable computed form   124 meV per atom
E   -24.079 eV per atom

Cell lengths 3.9149, 3.9149, 15.9938 Å; angles 90.00, 90.00, 120.00 degrees
Space group R3m (No. 160, hexagonal axes)
Inequivalent atoms, fractional coordinates:
La (0.0000, 0.0000, 0.0000) [3 per cell]
Cr (0.0000, 0.0000, 0.1974) [3 per cell]
Cr (0.0000, 0.0000, 0.4914) [3 per cell]
Fe (0.0000, 0.0000, 0.8123) [3 per cell]

---

Entry 4:
This record from Alexandria describes TaTcN2F at its PBEsol-relaxed geometry. The functional is SCAN.

Results
Formation energy (no corrections)   0.42 eV/atom
E   -24.333 eV per atom

Cell lengths 3.862, 3.862, 3.806 Å; angles 90.00, 90.00, 90.00 degrees
Space group P4/mmm (No. 123)
Inequivalent atoms, fractional coordinates:
Ta (0.000, 0.000, 0.000) [1 per cell]
Tc (0.500, 0.500, 0.500) [1 per cell]
N (0.000, 0.500, 0.500) [2 per cell]
F (0.500, 0.500, 0.000) [1 per cell]

---

Entry 5:
This record from Alexandria describes AlRu at its PBEsol-relaxed geometry. The functional is SCAN.

Results
E   -21.512 eV per atom

Cell lengths 2.7757, 2.7757, 8.4257 Å; angles 90.00, 90.00, 120.00 degrees
Space group P-3m1 (No. 164)
Inequivalent atoms, fractional coordinates:
Al (0.3333, 0.6667, 0.1397) [2 per cell]
Ru (0.3333, 0.6667, 0.6222) [2 per cell]

---

Entry 6:
This record from Alexandria describes TlTc2As at its PBEsol-relaxed geometry. The functional is SCAN.

Results
Offset from the most stable computed form   439 meV per atom
E   -39.902 eV per atom

Cell lengths 5.949, 8.482, 2.978 Å; angles 90.00, 117.34, 90.00 degrees
Space group C2/m (No. 12)
Inequivalent atoms, fractional coordinates:
Tl (0.000, 0.000, 0.000) [2 per cell]
Tc (0.250, 0.250, 0.500) [4 per cell]
As (0.000, 0.500, 0.000) [2 per cell]

---

Entry 7:
This record from Alexandria describes Rb3NbTc at its PBEsol-relaxed geometry. The functional is SCAN.

Results
E   -24.046 eV per atom

Cell lengths 6.724, 6.724, 6.724 Å; angles 90.00, 90.00, 90.00 degrees
Space group Pm-3m (No. 221)
Inequivalent atoms, fractional coordinates:
Rb (0.000, 0.000, 0.500) [3 per cell]
Nb (0.000, 0.000, 0.000) [1 per cell]
Tc (0.500, 0.500, 0.500) [1 per cell]

---

Entry 8:
This record from Alexandria describes CuPdSe2Br at its PBEsol-relaxed geometry. The functional is SCAN.

Results
Formation energy (no corrections)   0.59 eV/atom
E   -20.930 eV per atom

Cell lengths 4.852, 4.852, 5.011 Å; angles 90.00, 90.00, 90.00 degrees
Space group P4/mmm (No. 123)
Inequivalent atoms, fractional coordinates:
Cu (0.000, 0.000, 0.000) [1 per cell]
Pd (0.500, 0.500, 0.500) [1 per cell]
Se (0.000, 0.500, 0.500) [2 per cell]
Br (0.500, 0.500, 0.000) [1 per cell]

---

Entry 9:
This record from Alexandria describes SrV3O7 at its PBEsol-relaxed geometry. The functional is SCAN.

Results
Formation energy (no corrections)   -2.84 eV/atom
E   -13.603 eV per atom

Cell lengths 11.119, 10.342, 5.268 Å; angles 90.00, 90.00, 90.00 degrees
Space group Pnma (No. 62)
Inequivalent atoms, fractional coordinates:
Sr (0.072, 0.250, 0.202) [4 per cell]
V (0.191, 0.521, 0.717) [8 per cell]
V (0.211, 0.750, 0.209) [4 per cell]
O (0.049, 0.558, 0.732) [8 per cell]
O (0.064, 0.750, 0.200) [4 per cell]
O (0.224, 0.119, 0.478) [8 per cell]
O (0.230, 0.119, 0.948) [8 per cell]

---

Entry 10:
This record from Alexandria describes InPS2 at its PBEsol-relaxed geometry. The functional is SCAN.

Results
Formation energy (no corrections)   0.49 eV/atom
E   -15.272 eV per atom

Cell lengths 6.470, 6.470, 6.470 Å; angles 90.00, 90.00, 90.00 degrees
Space group Fm-3m (No. 225)
Inequivalent atoms, fractional coordinates:
In (0.000, 0.000, 0.000) [4 per cell]
P (0.000, 0.000, 0.500) [4 per cell]
S (0.250, 0.250, 0.250) [8 per cell]

---

Entry 11:
This record from Alexandria describes AlIn2Si at its PBEsol-relaxed geometry. The functional is SCAN.

Results
Formation energy (no corrections)   0.39 eV/atom
E   -20.745 eV per atom

Cell lengths 4.221, 4.221, 9.231 Å; angles 90.00, 90.00, 90.00 degrees
Space group I-4m2 (No. 119)
Inequivalent atoms, fractional coordinates:
Al (0.000, 0.000, 0.000) [2 per cell]
In (0.000, 0.000, 0.500) [2 per cell]
In (0.000, 0.500, 0.250) [2 per cell]
Si (0.000, 0.500, 0.750) [2 per cell]

---

Entry 12:
This record from Alexandria describes BiI3 at its PBEsol-relaxed geometry. The functional is SCAN.

Results
Formation energy (no corrections)   -0.28 eV/atom
E   -47.478 eV per atom

Cell lengths 4.251, 9.741, 7.388 Å; angles 90.00, 106.70, 90.00 degrees
Space group P2_1/m (No. 11)
Inequivalent atoms, fractional coordinates:
Bi (0.236, 0.250, 0.476) [2 per cell]
I (0.146, 0.566, 0.291) [4 per cell]
I (0.422, 0.750, 0.842) [2 per cell]